No. 1
The following is a DFT calculation (PBE) of an optimized crystal structure of EuAgHgPt.

```
EuAgHgPt
1.0
5.0031 0.0000 0.0000
2.5015 4.3328 0.0000
2.5015 1.4443 4.0850
Ag Pt Hg Eu
1 1 1 1
Direct
0.7500 0.7500 0.7500
0.5000 0.5000 0.5000
0.0000 0.0000 0.0000
0.2500 0.2500 0.2500
```

spin magnetization: 6.91 μB per formula unit
D(E_F): 11.653 states/eV/f.u.


No. 2
The following is a DFT calculation (PBE) of an optimized crystal structure of AcPaGa2.

```
AcPaGa2
1.0
-2.6535 1.7423 4.2259
-3.4873 -3.1527 2.4153
1.0803 -1.9557 4.7899
Ga Pa Ac
2 1 1
Direct
0.2500 0.2500 0.2500
0.7500 0.7500 0.7500
0.0000 0.0000 0.0000
0.5000 0.5000 0.5000
```

ΔE to the lowest computed polymorph: 0.087 eV per atom
spin magnetization: 1.17 μB per formula unit
D(E_F): 6.565 states/eV/f.u.


No. 3
The following is a DFT calculation (PBE) of an optimized crystal structure of HfIn2Tc.

```
HfIn2Tc
1.0
0.0000 3.3695 3.3695
3.3695 0.0000 3.3695
3.3695 3.3695 0.0000
In Tc Hf
2 1 1
Direct
0.2500 0.2500 0.2500
0.7500 0.7500 0.7500
0.0000 0.0000 0.0000
0.5000 0.5000 0.5000
```

ΔE to the lowest computed polymorph: 0.000 eV per atom
spin magnetization: 0.00 μB per formula unit
D(E_F): 2.436 states/eV/f.u.


no.,mass density (g/cm³),energy of formation (meV/atom)
1,12.29,-361
2,9.50,-123
3,10.98,144